[1]
The following is a PBE-GGA calculation of a relaxed KSb2TeSe crystal, from Alexandria via LeMat-Bulk.

a b c (Å): 5.5885 5.5885 5.6710
angles (deg): 90.00 90.00 90.00
Fractional positions:
Sb (0.0000, 0.5000, 0.0000)
Sb (0.5000, 0.0000, 0.0000)
K (0.5000, 0.5000, 0.5000)
Te (0.0000, 0.0000, 0.5000)
Se (0.0000, 0.0000, 0.0000)

- Final energy: -3.041 eV/atom

***

[2]
The following is a PBE-GGA calculation of a relaxed KThSb2Se6 crystal, from Alexandria via LeMat-Bulk.

a b c (Å): 15.2815 4.2877 17.3067
angles (deg): 87.30 90.00 90.00
Fractional positions:
K (0.2837, 0.7342, 0.6719)
K (0.2163, 0.7342, 0.1719)
K (0.7163, 0.2658, 0.3281)
K (0.7837, 0.2658, 0.8281)
Th (0.8708, 0.2973, 0.0905)
Th (0.1292, 0.7027, 0.9095)
Th (0.6292, 0.2973, 0.5905)
Th (0.3708, 0.7027, 0.4095)
Sb (0.8761, 0.7314, 0.5261)
Sb (0.6239, 0.7314, 0.0261)
Sb (0.3761, 0.2686, 0.9739)
Sb (0.9760, 0.7555, 0.2951)
Sb (0.4760, 0.2445, 0.2049)
Sb (0.0240, 0.2445, 0.7049)
Sb (0.1239, 0.2686, 0.4739)
Sb (0.5240, 0.7555, 0.7951)
Se (0.5309, 0.6647, 0.3039)
Se (0.0309, 0.3353, 0.1961)
Se (0.9691, 0.6647, 0.8039)
Se (0.1693, 0.7346, 0.3733)
Se (0.8307, 0.2654, 0.6267)
Se (0.9229, 0.3170, 0.4083)
Se (0.0771, 0.6830, 0.5917)
Se (0.7935, 0.7887, 0.9849)
Se (0.3307, 0.7346, 0.8733)
Se (0.7065, 0.7887, 0.4849)
Se (0.6693, 0.2654, 0.1267)
Se (0.4229, 0.6830, 0.0917)
Se (0.0136, 0.8175, 0.0588)
Se (0.1724, 0.2152, 0.7899)
Se (0.4691, 0.3353, 0.6961)
Se (0.3276, 0.2152, 0.2899)
Se (0.5771, 0.3170, 0.9083)
Se (0.8276, 0.7848, 0.2101)
Se (0.6724, 0.7848, 0.7101)
Se (0.2065, 0.2113, 0.0151)
Se (0.9864, 0.1825, 0.9412)
Se (0.4864, 0.8175, 0.5588)
Se (0.5136, 0.1825, 0.4412)
Se (0.2935, 0.2113, 0.5151)

- Final energy: -4.685 eV/atom

***

[3]
The following is a PBE-GGA calculation of a relaxed K2TiSb2Se6 crystal, from Alexandria via LeMat-Bulk.

a b c (Å): 6.9796 6.9796 8.2009
angles (deg): 98.94 98.94 119.33
Fractional positions:
K (0.8265, 0.1735, 0.0000)
K (0.1735, 0.8265, 0.0000)
Ti (0.0000, 0.0000, 0.5000)
Sb (0.3308, 0.6692, 0.5000)
Sb (0.6692, 0.3308, 0.5000)
Se (0.7666, 0.7666, 0.6908)
Se (0.0709, 0.3768, 0.6940)
Se (0.2334, 0.2334, 0.3092)
Se (0.3768, 0.0709, 0.6940)
Se (0.9291, 0.6232, 0.3060)
Se (0.6232, 0.9291, 0.3060)

- Final energy: -4.390 eV/atom